Record 1
Density functional theory data (GGA-PBE) for an optimized crystal structure of TaTeS2N.

Summary:
crystal system = tetragonal
calculated volume = 96.6 Å³/cell
formation energy from raw total energies = 0.043 eV/atom

a = 4.9662 Å, b = 4.9662 Å, c = 3.9185 Å
α = 90.00°, β = 90.00°, γ = 90.00°
Last column: nearest neighbours and their distance in Å.
Space group P4/mmm (No. 123)
Inequivalent atoms, fractional coordinates:
Ta  0.0000  0.0000  0.0000  2 N 1.96
Te  0.5000  0.5000  0.5000  8 S 3.16, 4 N 3.51
S  0.0000  0.5000  0.0000  2 Ta 2.48
N  0.0000  0.0000  0.5000  2 Ta 1.96

=====

Record 2
Density functional theory data (GGA-PBE) for an optimized crystal structure of Sm5Zn2Sn2.

Summary:
crystal system = orthorhombic
calculated volume = 1033.0 Å³/cell
E_form = -0.4293 eV/atom

a = 15.9823 Å, b = 8.1037 Å, c = 7.9758 Å
α = 90.00°, β = 90.00°, γ = 90.00°
Last column: nearest neighbours and their distance in Å.
Space group Cmce (No. 64)
Inequivalent atoms, fractional coordinates:
Sm  0.0000  0.0000  0.0000  4 Zn 3.18-3.26, 2 Sn 3.34
Sm  0.1370  0.1776  0.3263  3 Sn 3.17-3.19, 3 Zn 3.21-3.26
Zn  0.0000  0.1157  0.6190  1 Zn 2.67
Sn  0.2092  0.0000  0.0000  7 Sm 3.17-3.34

=====

Record 3
Density functional theory data (GGA-PBE) for an optimized crystal structure of Na2UTlTe4.

Summary:
crystal system = monoclinic
calculated volume = 272.2 Å³/cell
formation energy from raw total energies = -0.664 eV/atom

a = 7.7184 Å, b = 4.5096 Å, c = 8.2873 Å
α = 90.00°, β = 109.35°, γ = 90.00°
Last column: nearest neighbours and their distance in Å.
Space group P2/m (No. 10)
Inequivalent atoms, fractional coordinates:
Na  0.0000  0.0000  0.0000  6 Te 3.40-3.60
Na  0.0000  0.5000  0.5000  6 Te 3.18-3.21
U  0.5000  0.0000  0.5000  6 Te 2.94-3.08
Tl  0.5000  0.5000  0.0000  6 Te 3.32-3.33
Te  0.2666  0.0000  0.7168  1 U 2.94, 2 Na 3.18
Te  0.2703  0.5000  0.2769  2 U 3.08, 3 Na 3.21-3.40, 1 Tl 3.33

=====

Record 4
Density functional theory data (GGA-PBE) for an optimized crystal structure of Th6AuC4.

Summary:
crystal system = orthorhombic
calculated volume = 959.2 Å³/cell
E_form = -0.3761 eV/atom

a = 3.8043 Å, b = 12.6048 Å, c = 20.0029 Å
α = 90.00°, β = 90.00°, γ = 90.00°
Last column: nearest neighbours and their distance in Å.
Space group Cmcm (No. 63)
Inequivalent atoms, fractional coordinates:
Th  0.0000  0.0000  0.0000  6 C 2.71-2.73
Th  0.0000  0.1465  0.2500  2 C 2.63
Th  0.0000  0.2764  0.5783  5 C 2.56-2.75
Th  0.0000  0.4565  0.1500  3 C 2.54
Au  0.0000  0.1662  0.7500  6 Th 3.03-3.16
C  0.0000  0.0840  0.1247  6 Th 2.54-2.75
C  0.0000  0.3580  0.0390  6 Th 2.54-2.73

=====

Record 5
Density functional theory data (GGA-PBE) for an optimized crystal structure of CsLi2ScAl.

Summary:
crystal system = tetragonal
calculated volume = 184.3 Å³/cell
E_form = 0.8473 eV/atom

a = 5.4046 Å, b = 5.4046 Å, c = 6.3083 Å
α = 90.00°, β = 90.00°, γ = 90.00°
Last column: nearest neighbours and their distance in Å.
Space group P4/mmm (No. 123)
Inequivalent atoms, fractional coordinates:
Cs  0.0000  0.0000  0.0000  2 Al 3.15
Li  0.0000  0.5000  0.5000  2 Al 2.70
Sc  0.5000  0.5000  0.0000  4 Cs 3.82, 8 Li 4.15
Al  0.0000  0.0000  0.5000  4 Li 2.70

=====

Record 6
Density functional theory data (GGA-PBE) for an optimized crystal structure of Be3Br.

Summary:
crystal system = tetragonal
calculated volume = 54.3 Å³/cell
formation energy from raw total energies = 1.104 eV/atom

a = 4.3303 Å, b = 4.3303 Å, c = 2.8933 Å
α = 90.00°, β = 90.00°, γ = 90.00°
Last column: nearest neighbours and their distance in Å.
Space group P4/mmm (No. 123)
Inequivalent atoms, fractional coordinates:
Be  0.0000  0.0000  0.0000  10 Be 2.60-2.89
Be  0.0000  0.5000  0.5000  4 Br 2.60, 6 Be 2.60-2.89
Br  0.5000  0.5000  0.0000  8 Be 2.60, 2 Br 2.89

=====

Record 7
Density functional theory data (GGA-PBE) for an optimized crystal structure of Sb4RuCl.

Summary:
crystal system = cubic
calculated volume = 651.0 Å³/cell
formation energy from raw total energies = 0.760 eV/atom

a = 8.6670 Å, b = 8.6670 Å, c = 8.6670 Å
α = 90.00°, β = 90.00°, γ = 90.00°
Last column: nearest neighbours and their distance in Å.
Space group F-43m (No. 216)
Inequivalent atoms, fractional coordinates:
Sb  0.1216  0.1216  0.1216  6 Sb 2.98-3.15
Ru  0.0000  0.0000  0.5000  12 Sb 3.60, 4 Cl 3.75
Cl  0.2500  0.2500  0.7500  12 Sb 3.58, 4 Ru 3.75

=====

Record 8
Density functional theory data (GGA-PBE) for an optimized crystal structure of K2TaCd.

Summary:
crystal system = tetragonal
calculated volume = 120.6 Å³/cell
E_form = 1.1711 eV/atom

a = 4.5004 Å, b = 4.5004 Å, c = 5.9549 Å
α = 90.00°, β = 90.00°, γ = 90.00°
Last column: nearest neighbours and their distance in Å.
Space group P4/mmm (No. 123)
Inequivalent atoms, fractional coordinates:
K  0.0000  0.5000  0.0000  4 K 3.18
Ta  0.0000  0.0000  0.5000  4 Cd 3.18
Cd  0.5000  0.5000  0.5000  4 Ta 3.18

=====

Record 9
Density functional theory data (GGA-PBE) for an optimized crystal structure of Tb6NdDyEr2.

Summary:
crystal system = monoclinic
calculated volume = 1296.0 Å³/cell
E_form = 0.1199 eV/atom

a = 9.1200 Å, b = 15.0244 Å, c = 9.5251 Å
α = 90.00°, β = 96.81°, γ = 90.00°
Last column: nearest neighbours and their distance in Å.
Space group C2/c (No. 15)
Inequivalent atoms, fractional coordinates:
Tb  0.0634  0.1839  0.4438  7 Tb 3.40-3.74, 1 Er 3.50, 1 Nd 3.68
Tb  0.0984  0.3907  0.6184  4 Tb 3.21-3.52, 3 Er 3.27-3.43, 2 Dy 3.41-3.53
Tb  0.2102  0.2261  0.8174  3 Tb 3.21-3.57, 2 Er 3.40-3.58, 1 Dy 3.46, 1 Nd 3.57
Nd  0.0000  0.0272  0.7500  4 Er 3.39-3.45, 4 Tb 3.57-3.68
Dy  0.0000  0.4096  0.2500  6 Tb 3.41-3.53, 2 Er 3.52
Er  0.2483  0.4482  0.9530  6 Tb 3.27-3.58, 2 Nd 3.39-3.45, 1 Dy 3.52

=====

Record 10
Density functional theory data (GGA-PBE) for an optimized crystal structure of ReNiMo2.

Summary:
crystal system = cubic
calculated volume = 234.5 Å³/cell
E_form = 0.1746 eV/atom

a = 6.1670 Å, b = 6.1670 Å, c = 6.1670 Å
α = 90.00°, β = 90.00°, γ = 90.00°
Last column: nearest neighbours and their distance in Å.
Space group Fm-3m (No. 225)
Inequivalent atoms, fractional coordinates:
Re  0.0000  0.0000  0.0000  8 Mo 2.67
Ni  0.0000  0.0000  0.5000  8 Mo 2.67
Mo  0.2500  0.2500  0.2500  4 Re 2.67, 4 Ni 2.67

=====

Record 11
Density functional theory data (GGA-PBE) for an optimized crystal structure of BaLa3Nb.

Summary:
crystal system = cubic
calculated volume = 193.6 Å³/cell
E_form = 1.5338 eV/atom

a = 5.7848 Å, b = 5.7848 Å, c = 5.7848 Å
α = 90.00°, β = 90.00°, γ = 90.00°
Last column: nearest neighbours and their distance in Å.
Space group Pm-3m (No. 221)
Inequivalent atoms, fractional coordinates:
Ba  0.0000  0.0000  0.0000  6 La 2.89
La  0.0000  0.0000  0.5000  2 Ba 2.89
Nb  0.5000  0.5000  0.5000  12 La 4.09

=====

Record 12
Density functional theory data (GGA-PBE) for an optimized crystal structure of MnBi2Te4.

Summary:
crystal system = trigonal
calculated volume = 694.8 Å³/cell
formation energy from raw total energies = -0.187 eV/atom

a = 4.3508 Å, b = 4.3508 Å, c = 42.3818 Å
α = 90.00°, β = 90.00°, γ = 120.00°
Last column: nearest neighbours and their distance in Å.
Space group R-3m (No. 166, hexagonal axes)
Inequivalent atoms, fractional coordinates:
Mn  0.0000  0.0000  0.0000  6 Te 2.93
Bi  0.0000  0.0000  0.4202  6 Te 3.06-3.32
Te  0.0000  0.0000  0.1282  3 Bi 3.06
Te  0.0000  0.0000  0.2975  3 Mn 2.93